Entry 1:
Cs2KCdGe | GGA-PBE | optimized geometry

a b c (Å): 7.575 7.575 5.161
angles (deg): 90.00 90.00 90.00
Space group P4/mmm (No. 123)
Unique sites:
Cs1 0.000 0.500 0.000 [2 per cell]
K1 0.000 0.000 0.500 [1 per cell]
Cd1 0.500 0.500 0.500 [1 per cell]
Ge1 0.500 0.500 0.000 [1 per cell]

Results
ΔE_f = 0.11 eV/atom
E_tot = -7.8 eV for the cell shown
crystal system = tetragonal



Entry 2:
BaLiTl2Rh | GGA-PBE | optimized geometry

a b c (Å): 5.321 5.321 4.995
angles (deg): 90.00 90.00 90.00
Space group P4/mmm (No. 123)
Unique sites:
Ba1 0.000 0.000 0.000 [1 per cell]
Li1 0.500 0.500 0.000 [1 per cell]
Tl1 0.000 0.500 0.500 [2 per cell]
Rh1 0.500 0.500 0.500 [1 per cell]

Results
ΔE_f = -0.21 eV/atom
E_tot = -17.0 eV for the cell shown
crystal system = tetragonal



Entry 3:
Na3Al2Ge4 | GGA-PBE | optimized geometry

a b c (Å): 11.231 4.218 8.564
angles (deg): 90.00 98.69 90.00
Space group C2/m (No. 12)
Unique sites:
Na1 0.000 0.000 0.000 [2 per cell]
Na2 0.093 0.500 0.713 [4 per cell]
Al1 0.197 0.500 0.349 [4 per cell]
Ge1 0.102 0.000 0.448 [4 per cell]
Ge2 0.203 0.500 0.052 [4 per cell]

Results
ΔE_f = -0.11 eV/atom
E_tot = -61.9 eV for the cell shown
crystal system = monoclinic



Entry 4:
SrSi12Pd7 | GGA-PBE | optimized geometry

a b c (Å): 12.5939 12.5939 7.0240
angles (deg): 90.00 90.00 120.00
Space group R-3m (No. 166, hexagonal axes)
Unique sites:
Sr1 0.0000 0.0000 0.0000 [3 per cell]
Si1 0.0000 0.2538 0.0000 [18 per cell]
Si2 0.1114 0.2228 0.3368 [18 per cell]
Pd1 0.0000 0.0000 0.5000 [3 per cell]
Pd2 0.1008 0.5504 0.3716 [18 per cell]

Results
formation energy (no corrections) = -0.227 eV per atom
E_tot = -323.0 eV for the cell shown
crystal system = trigonal



Entry 5:
LiSc2VGe | GGA-PBE | optimized geometry

a b c (Å): 4.770 4.770 4.273
angles (deg): 90.00 90.00 90.00
Space group P4/mmm (No. 123)
Unique sites:
Li1 0.000 0.000 0.000 [1 per cell]
Sc1 0.000 0.500 0.000 [2 per cell]
V1 0.500 0.500 0.500 [1 per cell]
Ge1 0.000 0.000 0.500 [1 per cell]

Results
ΔE_f = 0.49 eV/atom
E_tot = -25.9 eV for the cell shown
crystal system = tetragonal



Entry 6:
HoPuAg | GGA-PBE | optimized geometry

a b c (Å): 3.394 3.394 13.559
angles (deg): 90.00 90.00 90.00
Space group I4mm (No. 107)
Unique sites:
Ho1 0.000 0.000 0.000 [2 per cell]
Pu1 0.000 0.000 0.694 [2 per cell]
Ag1 0.000 0.000 0.355 [2 per cell]

Results
energy above the lowest structure with this stoichiometry = 0.0743 eV/atom
ΔE_f = 0.02 eV/atom
E_tot = -43.4 eV for the cell shown
crystal system = tetragonal



Entry 7:
MnIn2AgSe4 | GGA-PBE | optimized geometry

a b c (Å): 8.803 8.805 11.923
angles (deg): 90.00 90.00 90.00
Space group Fmm2 (No. 42)
Unique sites:
Mn1 0.000 0.000 0.000 [4 per cell]
In1 0.250 0.250 0.250 [8 per cell]
Ag1 0.000 0.000 0.501 [4 per cell]
Se1 0.000 0.238 0.117 [8 per cell]
Se2 0.239 0.000 0.883 [8 per cell]

Results
formation energy (no corrections) = -0.396 eV per atom
E_tot = -138.4 eV for the cell shown
crystal system = orthorhombic



Entry 8:
CuHgN2F | GGA-PBE | optimized geometry

a b c (Å): 4.195 4.195 4.658
angles (deg): 90.00 90.00 90.00
Space group P4/mmm (No. 123)
Unique sites:
Cu1 0.000 0.000 0.000 [1 per cell]
Hg1 0.500 0.500 0.500 [1 per cell]
N1 0.000 0.500 0.500 [2 per cell]
F1 0.500 0.500 0.000 [1 per cell]

Results
energy above the lowest structure with this stoichiometry = 0.6884 eV/atom
formation energy (no corrections) = 1.627 eV per atom
E_tot = -14.8 eV for the cell shown
crystal system = tetragonal



Entry 9:
SmDyCo3 | GGA-PBE | optimized geometry

a b c (Å): 4.136 23.289 3.903
angles (deg): 90.00 90.00 90.00
Space group Cmcm (No. 63)
Unique sites:
Sm1 0.000 0.071 0.250 [4 per cell]
Dy1 0.000 0.205 0.750 [4 per cell]
Co1 0.000 0.331 0.750 [4 per cell]
Co2 0.000 0.378 0.250 [4 per cell]
Co3 0.000 0.476 0.250 [4 per cell]

Results
ΔE_f = -0.16 eV/atom
E_tot = -125.8 eV for the cell shown
crystal system = orthorhombic



Entry 10:
Sm3DySc6 | GGA-PBE | optimized geometry

a b c (Å): 9.3315 9.3315 11.2615
angles (deg): 90.00 90.00 120.00
Space group R3 (No. 146, hexagonal axes)
Unique sites:
Sm1 0.0000 0.0000 0.0000 [3 per cell]
Sm2 0.0000 0.0000 0.2499 [3 per cell]
Sm3 0.0000 0.0000 0.4997 [3 per cell]
Dy1 0.0000 0.0000 0.7499 [3 per cell]
Sc1 0.0019 0.3297 0.4995 [9 per cell]
Sc2 0.0055 0.6687 0.6656 [9 per cell]

Results
energy above the lowest structure with this stoichiometry = 0.2242 eV/atom
ΔE_f = 0.41 eV/atom
E_tot = -158.0 eV for the cell shown
crystal system = trigonal



Entry 11:
Ce2InSi4Pt3 | GGA-PBE | optimized geometry

a b c (Å): 4.273 4.273 10.230
angles (deg): 90.00 90.00 90.00
Space group P-4m2 (No. 115)
Unique sites:
Ce1 0.000 0.500 0.237 [2 per cell]
In1 0.000 0.000 0.500 [1 per cell]
Si1 0.000 0.000 0.000 [1 per cell]
Si2 0.000 0.500 0.652 [2 per cell]
Si3 0.500 0.500 0.000 [1 per cell]
Pt1 0.000 0.500 0.885 [2 per cell]
Pt2 0.500 0.500 0.500 [1 per cell]

Results
formation energy (no corrections) = -0.904 eV per atom
E_tot = -63.5 eV for the cell shown
crystal system = tetragonal



Entry 12:
AcLaNiCl | GGA-PBE | optimized geometry

a b c (Å): 4.1917 4.1917 23.5203
angles (deg): 90.00 90.00 120.00
Space group R3m (No. 160, hexagonal axes)
Unique sites:
Ac1 0.0000 0.0000 0.0000 [3 per cell]
La1 0.0000 0.0000 0.8000 [3 per cell]
Ni1 0.0000 0.0000 0.4039 [3 per cell]
Cl1 0.0000 0.0000 0.2276 [3 per cell]

Results
formation energy (no corrections) = -0.935 eV per atom
E_tot = -61.2 eV for the cell shown
crystal system = trigonal